# SbC2

An optimized crystal structure of SbC2 (PBE, Alexandria via LeMat-Bulk).

Cell: 4.3427 4.3427 4.3427 Å, 47.13 47.13 47.13°
Positions (direct):
Sb 0.0000 0.0000 0.0000
C 0.2376 0.2376 0.2376
C 0.7624 0.7624 0.7624

Results
ΔE to the lowest computed polymorph in meV/atom: 1628
Fermi-level density of states in states/eV/atom: 0.49
Total magnetization in Bohr magnetons per cell: 0.00
Density in g/cm3: 6.018
Formation energy from raw total energies in meV/atom: 2564


# Sb4C3

An optimized crystal structure of Sb4C3 (PBE, Alexandria via LeMat-Bulk).

Cell: 11.9396 11.9396 11.9396 Å, 164.11 164.11 22.54°
Positions (direct):
Sb 0.0596 0.0596 0.0000
Sb 0.3058 0.3058 0.0000
Sb 0.6942 0.6942 0.0000
Sb 0.9404 0.9404 0.0000
C 0.2098 0.2098 0.0000
C 0.5000 0.5000 0.0000
C 0.7902 0.7902 0.0000

Results
ΔE to the lowest computed polymorph in meV/atom: 453
Fermi-level density of states in states/eV/atom: 0.45
Total magnetization in Bohr magnetons per cell: 0.00
Density in g/cm3: 6.813
Formation energy from raw total energies in meV/atom: 1476


# SbC3

An optimized crystal structure of SbC3 (PBE, Alexandria via LeMat-Bulk).

Cell: 4.9260 4.9260 5.9476 Å, 90.00 90.00 120.00°
Positions (direct):
Sb 0.3333 0.6667 0.2500
Sb 0.6667 0.3333 0.7500
C 0.0970 0.1939 0.7500
C 0.0970 0.9030 0.7500
C 0.1939 0.0970 0.2500
C 0.8061 0.9030 0.7500
C 0.9030 0.0970 0.2500
C 0.9030 0.8061 0.2500

Results
ΔE to the lowest computed polymorph in meV/atom: 1149
Fermi-level density of states in states/eV/atom: 0.19
Total magnetization in Bohr magnetons per cell: 0.00
Density in g/cm3: 4.193
Formation energy from raw total energies in meV/atom: 2030


# SbC

An optimized crystal structure of SbC (PBE, Alexandria via LeMat-Bulk).

Cell: 3.3390 3.3390 6.0457 Å, 90.00 90.00 120.00°
Positions (direct):
Sb 0.3333 0.6667 0.2500
Sb 0.6667 0.3333 0.7500
C 0.0000 0.0000 0.0000
C 0.0000 0.0000 0.5000

Results
ΔE to the lowest computed polymorph in meV/atom: 804
Fermi-level density of states in states/eV/atom: 0.29
Total magnetization in Bohr magnetons per cell: 0.00
Density in g/cm3: 7.611
Formation energy from raw total energies in meV/atom: 1639


# Sb4C3

An optimized crystal structure of Sb4C3 (PBE, Alexandria via LeMat-Bulk).

Cell: 4.5998 4.5998 8.0144 Å, 90.00 90.00 120.00°
Positions (direct):
Sb 0.0000 0.0000 0.1783
Sb 0.0000 0.0000 0.8217
Sb 0.3333 0.6667 0.5000
Sb 0.6667 0.3333 0.5000
C 0.0000 0.5000 0.0000
C 0.5000 0.0000 0.0000
C 0.5000 0.5000 0.0000

Results
ΔE to the lowest computed polymorph in meV/atom: 1186
Fermi-level density of states in states/eV/atom: 0.31
Total magnetization in Bohr magnetons per cell: 0.00
Density in g/cm3: 5.915
Formation energy from raw total energies in meV/atom: 2209


# SbC2

An optimized crystal structure of SbC2 (PBE, Alexandria via LeMat-Bulk).

Cell: 5.1116 5.1116 3.4456 Å, 90.00 90.00 90.00°
Positions (direct):
Sb 0.0000 0.0000 0.0000
Sb 0.5000 0.5000 0.5000
C 0.1955 0.1955 0.5000
C 0.3045 0.6955 0.0000
C 0.6955 0.3045 0.0000
C 0.8045 0.8045 0.5000

Results
ΔE to the lowest computed polymorph in meV/atom: 1662
Fermi-level density of states in states/eV/atom: 0.81
Total magnetization in Bohr magnetons per cell: 0.00
Density in g/cm3: 5.378
Formation energy from raw total energies in meV/atom: 2597


# SbC

An optimized crystal structure of SbC (PBE, Alexandria via LeMat-Bulk).

Cell: 10.0125 10.0125 3.5991 Å, 90.00 90.00 90.00°
Positions (direct):
Sb 0.0854 0.2503 0.0000
Sb 0.1606 0.5863 0.5000
Sb 0.2503 0.9146 0.0000
Sb 0.4137 0.1606 0.5000
Sb 0.5863 0.8394 0.5000
Sb 0.7497 0.0854 0.0000
Sb 0.8394 0.4137 0.5000
Sb 0.9146 0.7497 0.0000
C 0.0727 0.3778 0.5000
C 0.1393 0.7201 0.0000
C 0.2799 0.1393 0.0000
C 0.3778 0.9273 0.5000
C 0.6222 0.0727 0.5000
C 0.7201 0.8607 0.0000
C 0.8607 0.2799 0.0000
C 0.9273 0.6222 0.5000

Results
ΔE to the lowest computed polymorph in meV/atom: 606
Fermi-level density of states in states/eV/atom: 0.26
Total magnetization in Bohr magnetons per cell: 0.00
Density in g/cm3: 4.925
Formation energy from raw total energies in meV/atom: 1441


# SbC

An optimized crystal structure of SbC (PBE, Alexandria via LeMat-Bulk).

Cell: 5.8681 5.8681 3.3188 Å, 90.00 90.00 120.00°
Positions (direct):
Sb 0.0000 0.3625 0.0000
Sb 0.3625 0.0000 0.0000
Sb 0.6375 0.6375 0.0000
C 0.0000 0.0000 0.0000
C 0.3333 0.6667 0.5000
C 0.6667 0.3333 0.5000

Results
ΔE to the lowest computed polymorph in meV/atom: 867
Fermi-level density of states in states/eV/atom: 0.32
Total magnetization in Bohr magnetons per cell: 0.00
Density in g/cm3: 6.733
Formation energy from raw total energies in meV/atom: 1701


# SbC2

An optimized crystal structure of SbC2 (PBE, Alexandria via LeMat-Bulk).

Cell: 3.3907 3.3907 4.1883 Å, 90.00 90.00 120.00°
Positions (direct):
Sb 0.0000 0.0000 0.0000
C 0.6667 0.3333 0.3423
C 0.6667 0.3333 0.6577

Results
ΔE to the lowest computed polymorph in meV/atom: 358
Fermi-level density of states in states/eV/atom: 0.40
Total magnetization in Bohr magnetons per cell: 0.00
Density in g/cm3: 5.805
Formation energy from raw total energies in meV/atom: 1293


# SbC

An optimized crystal structure of SbC (PBE, Alexandria via LeMat-Bulk).

Cell: 7.7331 7.7331 4.5120 Å, 90.00 90.00 120.00°
Positions (direct):
Sb 0.0467 0.6729 0.2500
Sb 0.3271 0.3738 0.2500
Sb 0.3738 0.0467 0.7500
Sb 0.6262 0.9533 0.2500
Sb 0.6729 0.6262 0.7500
Sb 0.9533 0.3271 0.7500
C 0.0545 0.3910 0.2500
C 0.3365 0.9455 0.2500
C 0.3910 0.3365 0.7500
C 0.6090 0.6635 0.2500
C 0.6635 0.0545 0.7500
C 0.9455 0.6090 0.7500

Results
ΔE to the lowest computed polymorph in meV/atom: 610
Fermi-level density of states in states/eV/atom: 0.47
Total magnetization in Bohr magnetons per cell: 0.00
Density in g/cm3: 5.704
Formation energy from raw total energies in meV/atom: 1445


# Sb3C

An optimized crystal structure of Sb3C (PBE, Alexandria via LeMat-Bulk).

Cell: 7.0758 7.0758 5.3861 Å, 90.00 90.00 117.02°
Positions (direct):
Sb 0.0696 0.9304 0.7500
Sb 0.0996 0.3882 0.7500
Sb 0.3882 0.0996 0.2500
Sb 0.6118 0.9004 0.7500
Sb 0.9004 0.6118 0.2500
Sb 0.9304 0.0696 0.2500
C 0.4079 0.5921 0.7500
C 0.5921 0.4079 0.2500

Results
ΔE to the lowest computed polymorph in meV/atom: 353
Fermi-level density of states in states/eV/atom: 0.55
Total magnetization in Bohr magnetons per cell: 0.00
Density in g/cm3: 5.216
Formation energy from raw total energies in meV/atom: 1114


# SbC

An optimized crystal structure of SbC (PBE, Alexandria via LeMat-Bulk).

Cell: 6.7316 3.3764 5.6078 Å, 90.00 90.00 90.00°
Positions (direct):
Sb 0.1285 0.2500 0.2325
Sb 0.3715 0.7500 0.7325
Sb 0.6285 0.2500 0.2675
Sb 0.8715 0.7500 0.7675
C 0.1621 0.2500 0.8397
C 0.3379 0.7500 0.3397
C 0.6621 0.2500 0.6603
C 0.8379 0.7500 0.1603

Results
ΔE to the lowest computed polymorph in meV/atom: 590
Fermi-level density of states in states/eV/atom: 0.37
Total magnetization in Bohr magnetons per cell: 0.00
Density in g/cm3: 6.971
Formation energy from raw total energies in meV/atom: 1425


# Sb4C5

An optimized crystal structure of Sb4C5 (PBE, Alexandria via LeMat-Bulk).

Cell: 6.7501 6.7501 6.4669 Å, 90.00 90.00 120.00°
Positions (direct):
Sb 0.0000 0.0000 0.0000
Sb 0.0000 0.0000 0.5000
Sb 0.0000 0.4467 0.2500
Sb 0.0000 0.5533 0.7500
Sb 0.4467 0.0000 0.2500
Sb 0.4467 0.4467 0.7500
Sb 0.5533 0.0000 0.7500
Sb 0.5533 0.5533 0.2500
C 0.0000 0.2339 0.7500
C 0.0000 0.7661 0.2500
C 0.2339 0.0000 0.7500
C 0.2339 0.2339 0.2500
C 0.3333 0.6667 0.0000
C 0.3333 0.6667 0.5000
C 0.6667 0.3333 0.0000
C 0.6667 0.3333 0.5000
C 0.7661 0.0000 0.2500
C 0.7661 0.7661 0.7500

Results
ΔE to the lowest computed polymorph in meV/atom: 752
Fermi-level density of states in states/eV/atom: 0.60
Total magnetization in Bohr magnetons per cell: 0.00
Density in g/cm3: 7.120
Formation energy from raw total energies in meV/atom: 1968


# SbC

An optimized crystal structure of SbC (PBE, Alexandria via LeMat-Bulk).

Cell: 3.3154 3.3154 3.1286 Å, 90.00 90.00 120.00°
Positions (direct):
Sb 0.0000 0.0000 0.0000
C 0.6667 0.3333 0.5000

Results
ΔE to the lowest computed polymorph in meV/atom: 903
Fermi-level density of states in states/eV/atom: 0.43
Total magnetization in Bohr magnetons per cell: 0.00
Density in g/cm3: 7.458
Formation energy from raw total energies in meV/atom: 1738


# Sb2C

An optimized crystal structure of Sb2C (PBE, Alexandria via LeMat-Bulk).

Cell: 6.7126 6.7126 6.7126 Å, 28.45 28.45 28.45°
Positions (direct):
Sb 0.2441 0.2441 0.2441
Sb 0.7559 0.7559 0.7559
C 0.5000 0.5000 0.5000

Results
ΔE to the lowest computed polymorph in meV/atom: 452
Fermi-level density of states in states/eV/atom: 0.35
Total magnetization in Bohr magnetons per cell: 0.00
Density in g/cm3: 6.996
Formation energy from raw total energies in meV/atom: 1063


# SbC3

An optimized crystal structure of SbC3 (PBE, Alexandria via LeMat-Bulk).

Cell: 4.7840 4.7840 10.9091 Å, 90.00 90.00 120.00°
Positions (direct):
Sb 0.0000 0.0000 0.0000
Sb 0.0000 0.0000 0.5000
Sb 0.3333 0.6667 0.2500
Sb 0.6667 0.3333 0.7500
C 0.0000 0.5000 0.0000
C 0.0000 0.5000 0.5000
C 0.2339 0.4677 0.7500
C 0.2339 0.7661 0.7500
C 0.4677 0.2339 0.2500
C 0.5000 0.0000 0.0000
C 0.5000 0.0000 0.5000
C 0.5000 0.5000 0.0000
C 0.5000 0.5000 0.5000
C 0.5323 0.7661 0.7500
C 0.7661 0.2339 0.2500
C 0.7661 0.5323 0.2500

Results
ΔE to the lowest computed polymorph in meV/atom: 1931
Fermi-level density of states in states/eV/atom: 0.43
Total magnetization in Bohr magnetons per cell: 2.51
Density in g/cm3: 4.847
Formation energy from raw total energies in meV/atom: 2813


# Sb2C

An optimized crystal structure of Sb2C (PBE, Alexandria via LeMat-Bulk).

Cell: 6.1868 6.1868 6.1868 Å, 90.00 90.00 90.00°
Positions (direct):
Sb 0.1423 0.1423 0.1423
Sb 0.1423 0.3577 0.6423
Sb 0.3577 0.6423 0.1423
Sb 0.3577 0.8577 0.6423
Sb 0.6423 0.1423 0.3577
Sb 0.6423 0.3577 0.8577
Sb 0.8577 0.6423 0.3577
Sb 0.8577 0.8577 0.8577
C 0.0000 0.0000 0.5000
C 0.0000 0.5000 0.0000
C 0.5000 0.0000 0.0000
C 0.5000 0.5000 0.5000

Results
ΔE to the lowest computed polymorph in meV/atom: 709
Fermi-level density of states in states/eV/atom: 0.76
Total magnetization in Bohr magnetons per cell: 0.00
Density in g/cm3: 7.167
Formation energy from raw total energies in meV/atom: 1320


# SbC3

An optimized crystal structure of SbC3 (PBE, Alexandria via LeMat-Bulk).

Cell: 5.4735 5.4735 5.4735 Å, 146.40 115.51 74.72°
Positions (direct):
Sb 0.0000 0.0000 0.0000
C 0.4296 0.1505 0.2791
C 0.6342 0.1342 0.5000
C 0.8713 0.1505 0.7209

Results
ΔE to the lowest computed polymorph in meV/atom: 570
Fermi-level density of states in states/eV/atom: 0.40
Total magnetization in Bohr magnetons per cell: 0.00
Density in g/cm3: 3.259
Formation energy from raw total energies in meV/atom: 1451


# SbC

An optimized crystal structure of SbC (PBE, Alexandria via LeMat-Bulk).

Cell: 3.4589 3.4589 3.4589 Å, 60.00 60.00 60.00°
Positions (direct):
Sb 0.0000 0.0000 0.0000
C 0.5000 0.5000 0.5000

Results
ΔE to the lowest computed polymorph in meV/atom: 658
Fermi-level density of states in states/eV/atom: 0.43
Total magnetization in Bohr magnetons per cell: 0.00
Density in g/cm3: 7.591
Formation energy from raw total energies in meV/atom: 1492


# SbC

An optimized crystal structure of SbC (PBE, Alexandria via LeMat-Bulk).

Cell: 4.0272 4.0272 3.1889 Å, 90.00 90.00 133.36°
Positions (direct):
Sb 0.0000 0.0000 0.0000
C 0.5000 0.5000 0.5000

Results
ΔE to the lowest computed polymorph in meV/atom: 1011
Fermi-level density of states in states/eV/atom: 0.40
Total magnetization in Bohr magnetons per cell: 0.00
Density in g/cm3: 5.908
Formation energy from raw total energies in meV/atom: 1846